Entry 1:
This record from Alexandria describes Mn2CrIr at its PBEsol-relaxed geometry. The functional is SCAN.

For the theoretical density, the calculation gives 12.56 Mg/m³. The space-group type is No. 119. The formation energy is -0.229 eV/atom.

abc: 4.429 4.429 4.429
angles: 132.17 132.17 69.95
Fractional coordinates of all 4 atoms:
Mn 0.000 0.000 0.000
Mn 0.750 0.250 0.500
Cr 0.250 0.750 0.500
Ir 0.500 0.500 0.000

=====

Entry 2:
This record from Alexandria describes MnCrIr2 at its PBEsol-relaxed geometry. The functional is SCAN.

For the theoretical density, the calculation gives 16.07 Mg/m³. The space-group type is No. 65. The formation energy is -0.416 eV/atom. The calculation puts the relative energy among the computed polymorphs at 0.1444 eV per atom.

abc: 4.486 4.486 2.647
angles: 90.00 90.00 107.69
Fractional coordinates of all 4 atoms:
Mn 0.000 0.000 0.000
Cr 0.500 0.500 0.000
Ir 0.000 0.500 0.500
Ir 0.500 0.000 0.500